Material: Nd2Dy3Pt4
Method: DFT, PBE
State: relaxed

Results
E_form (eV per atom): -1.144

Cell lengths 7.631, 7.671, 7.873 Å; angles 90.00, 109.23, 90.00 degrees
Space group P2_1/c (No. 14)
Symmetry-distinct sites (fractional):
Nd1 0.198 0.177 0.084 [4 per cell]
Dy1 0.244 0.664 0.249 [4 per cell]
Dy2 0.500 0.000 0.500 [2 per cell]
Pt1 0.092 0.538 0.864 [4 per cell]
Pt2 0.498 0.134 0.872 [4 per cell]